Entry 1:
DFT (PBE-GGA) results for crystalline SrCa2CeAu4 at its relaxed geometry.

abc: 9.124 9.124 9.124
angles: 33.41 33.41 33.41
Fractional coordinates of all 8 atoms:
Sr1 0.000 0.000 0.000
Ca1 0.251 0.251 0.251
Ca2 0.749 0.749 0.749
Ce1 0.500 0.500 0.500
Au1 0.131 0.131 0.131
Au2 0.381 0.381 0.381
Au3 0.619 0.619 0.619
Au4 0.869 0.869 0.869

Computed properties:
Energy of formation from the pure elements   -5.9 eV/f.u.
Mass density   8.87 g/cm3

***

Entry 2:
DFT (PBE-GGA) results for crystalline AgPSe2 at its relaxed geometry.

abc: 3.312 3.312 6.909
angles: 90.00 90.00 90.00
Fractional coordinates of all 4 atoms:
Ag1 0.000 0.000 0.000
P1 0.000 0.000 0.500
Se1 0.500 0.500 0.270
Se2 0.500 0.500 0.730

Computed properties:
ΔE_f (raw)   488 meV/atom
Mass density   6.50 g/cm3

***

Entry 3:
DFT (PBE-GGA) results for crystalline Y4ErCd2 at its relaxed geometry.

abc: 10.431 10.431 10.431
angles: 28.59 28.59 28.59
Fractional coordinates of all 7 atoms:
Y1 0.109 0.109 0.109
Y2 0.295 0.295 0.295
Y3 0.705 0.705 0.705
Y4 0.891 0.891 0.891
Er1 0.500 0.500 0.500
Cd1 0.400 0.400 0.400
Cd2 0.600 0.600 0.600

Computed properties:
Energy of formation from the pure elements   1.3 eV/f.u.
Mass density   5.40 g/cm3

***

Entry 4:
DFT (PBE-GGA) results for crystalline HfBeSbC2 at its relaxed geometry.

abc: 4.265 4.265 4.346
angles: 90.00 90.00 90.00
Fractional coordinates of all 5 atoms:
Hf1 0.000 0.000 0.000
Be1 0.500 0.500 0.000
Sb1 0.500 0.500 0.500
C1 0.000 0.500 0.500
C2 0.500 0.000 0.500

Computed properties:
ΔE_f (raw)   2124 meV/atom
Mass density   7.00 g/cm3

***

Which of these has the highest mass density?
SrCa2CeAu4

***

Look up the mass density of the fourth one.
7.00 g/cm3

***

Which of these has the highest mass density?
SrCa2CeAu4